Entry 1:
Compound: TlNi2AgF
Source: Alexandria
Functional: PBEsol
Structure: relaxed

a b c (Å): 4.4573 4.7593 4.7593
angles (deg): 90.00 90.00 90.00
Closest atoms and distances in Å follow each position.
Atoms (fractional coordinates):
F: 0.5000 0.0000 0.0000  2 Tl 2.23
Ni: 0.0000 0.5000 0.0000  2 Tl 2.38
Ni: 0.0000 0.0000 0.5000  2 Tl 2.38
Ag: 0.5000 0.5000 0.5000  8 Ni 3.26, 4 F 3.37
Tl: 0.0000 0.0000 0.0000  2 F 2.23, 4 Ni 2.38

Values from the calculation:
The space group is P4/mmm, No. 123. The formation energy (no corrections) comes out at 761 meV/atom.

***

Entry 2:
Compound: AgPO2F2
Source: Alexandria
Functional: PBEsol
Structure: relaxed

a b c (Å): 6.0252 10.2066 13.3805
angles (deg): 111.35 101.29 94.41
Closest atoms and distances in Å follow each position.
Atoms (fractional coordinates):
O: 0.2005 0.1753 0.0780  1 P 1.51
O: 0.7995 0.8247 0.9220  1 P 1.51
O: 0.0936 0.6940 0.8184  1 P 1.50
O: 0.9749 0.5908 0.4338  1 P 1.50
O: 0.9589 0.8430 0.4338  1 P 1.50
O: 0.0251 0.4092 0.5662  1 P 1.50
O: 0.0411 0.1570 0.5662  1 P 1.50
O: 0.1891 0.1485 0.3096  1 P 1.50
O: 0.2248 0.1244 0.8184  1 P 1.50
O: 0.9064 0.3060 0.1816  1 P 1.50
O: 0.8109 0.8515 0.6904  1 P 1.50
O: 0.6205 0.1612 0.3096  1 P 1.50
O: 0.7752 0.8756 0.1816  1 P 1.50
O: 0.3775 0.9027 0.0780  1 P 1.51
O: 0.6225 0.0973 0.9220  1 P 1.51
O: 0.3795 0.8388 0.6904  1 P 1.50
P: 0.8829 0.6887 0.8615  2 O 1.50-1.51, 2 F 1.56
P: 0.4360 0.1860 0.3720  2 O 1.50, 2 F 1.56
P: 0.5640 0.8140 0.6280  2 O 1.50, 2 F 1.56
P: 0.4785 0.1728 0.8615  2 O 1.50-1.51, 2 F 1.56
P: 0.9356 0.6856 0.3712  2 O 1.50, 2 F 1.56
P: 0.0644 0.3144 0.6288  2 O 1.50, 2 F 1.56
P: 0.1171 0.3113 0.1385  2 O 1.50-1.51, 2 F 1.56
P: 0.5215 0.8272 0.1385  2 O 1.50-1.51, 2 F 1.56
Ag: 0.0118 0.9861 0.1119  5 O 2.28-2.51
Ag: 0.6001 0.1257 0.1119  5 O 2.28-2.51
Ag: 0.0431 0.6556 0.6241  5 O 2.33-2.52
Ag: 0.3999 0.8743 0.8881  5 O 2.28-2.51
Ag: 0.0810 0.9685 0.6241  5 O 2.33-2.52
Ag: 0.9882 0.0139 0.8881  5 O 2.28-2.51
Ag: 0.9190 0.0315 0.3759  5 O 2.33-2.52
Ag: 0.9569 0.3444 0.3759  5 O 2.33-2.52
F: 0.3037 0.3695 0.7128  1 P 1.56
F: 0.6790 0.5911 0.7643  1 P 1.56
F: 0.5183 0.6553 0.5439  1 P 1.56
F: 0.4743 0.1114 0.4561  1 P 1.56
F: 0.5257 0.8886 0.5439  1 P 1.56
F: 0.5283 0.3350 0.9349  1 P 1.56
F: 0.4147 0.8267 0.2357  1 P 1.56
F: 0.4817 0.3447 0.4561  1 P 1.56
F: 0.4717 0.6650 0.0651  1 P 1.56
F: 0.5853 0.1733 0.7643  1 P 1.56
F: 0.0935 0.4001 0.0651  1 P 1.56
F: 0.9065 0.5999 0.9349  1 P 1.56
F: 0.3210 0.4089 0.2357  1 P 1.56
F: 0.6963 0.6305 0.2872  1 P 1.56
F: 0.0909 0.6567 0.2872  1 P 1.56
F: 0.9091 0.3433 0.7128  1 P 1.56

Values from the calculation:
The space group is C2/c, No. 15. The formation energy (no corrections) comes out at -1864 meV/atom.

***

Entry 3:
Compound: AgPbO2F
Source: Alexandria
Functional: PBEsol
Structure: relaxed

a b c (Å): 4.1695 4.1695 4.3775
angles (deg): 90.00 90.00 90.00
Closest atoms and distances in Å follow each position.
Atoms (fractional coordinates):
Pb: 0.0000 0.0000 0.0000  4 O 2.08, 2 F 2.19
F: 0.0000 0.0000 0.5000  2 Pb 2.19
O: 0.5000 0.0000 0.0000  2 Pb 2.08
O: 0.0000 0.5000 0.0000  2 Pb 2.08
Ag: 0.5000 0.5000 0.5000  4 F 2.95, 8 O 3.02

Values from the calculation:
The space group is P4/mmm, No. 123. The formation energy (no corrections) comes out at -594 meV/atom.

***

Entry 4:
Compound: RbAgOF2
Source: Alexandria
Functional: PBEsol
Structure: relaxed

a b c (Å): 4.4137 4.8259 4.8259
angles (deg): 90.00 90.00 90.00
Closest atoms and distances in Å follow each position.
Atoms (fractional coordinates):
F: 0.0000 0.5000 0.0000  2 Rb 2.41
F: 0.0000 0.0000 0.5000  2 Rb 2.41
Ag: 0.5000 0.5000 0.5000  8 F 3.27, 4 O 3.41
Rb: 0.0000 0.0000 0.0000  2 O 2.21, 4 F 2.41
O: 0.5000 0.0000 0.0000  2 Rb 2.21

Values from the calculation:
The space group is P4/mmm, No. 123. The formation energy (no corrections) comes out at -157 meV/atom.